This record from the Alexandria database describes a relaxed structure of Sm4FeI5. The functional is PBE-GGA.

Lattice parameters (Å, degrees): 4.181 9.294 9.893 103.13 102.20 90.00
Fractional coordinates of all 10 atoms:
Sm 0.000 0.786 0.001
Sm 0.369 0.933 0.738
Sm 0.000 0.214 0.999
Sm 0.631 0.067 0.262
I 0.829 0.164 0.658
I 0.833 0.668 0.666
I 0.167 0.332 0.334
I 0.500 0.500 0.000
I 0.171 0.836 0.342
Fe 0.500 0.000 0.000

Summary:
The space group is C2/m. As for the crystal system: monoclinic. The calculation puts the uncorrected formation energy at -985 meV/atom.

This record from the Alexandria database describes a relaxed structure of NbTeO2F. The functional is PBE-GGA.

Lattice parameters (Å, degrees): 4.255 4.255 4.484 90.00 90.00 90.00
Fractional coordinates of all 5 atoms:
Te 0.000 0.000 0.000
F 0.000 0.000 0.500
Nb 0.500 0.500 0.500
O 0.500 0.000 0.000
O 0.000 0.500 0.000

Summary:
The space group is P4/mmm. As for the crystal system: tetragonal. The calculation puts the uncorrected formation energy at -143 meV/atom.

This record from the Alexandria database describes a relaxed structure of CaAcGaSb. The functional is PBE-GGA.

Lattice parameters (Å, degrees): 5.540 5.540 5.540 60.00 60.00 60.00
Fractional coordinates of all 4 atoms:
Ga 0.250 0.250 0.250
Sb 0.750 0.750 0.750
Ca 0.500 0.500 0.500
Ac 0.000 0.000 0.000

Summary:
The space group is F-43m. As for the crystal system: cubic. The calculation puts the uncorrected formation energy at -595 meV/atom.

This record from the Alexandria database describes a relaxed structure of Mg3PRu. The functional is PBE-GGA.

Lattice parameters (Å, degrees): 4.763 4.763 4.763 90.00 90.00 90.00
Fractional coordinates of all 5 atoms:
Mg 0.000 0.000 0.500
Mg 0.500 0.000 0.000
Mg 0.000 0.500 0.000
Ru 0.500 0.500 0.500
P 0.000 0.000 0.000

Summary:
The space group is Pm-3m. As for the crystal system: cubic. The value obtained for the calculated formation energy is 495 meV per atom.

This record from the Alexandria database describes a relaxed structure of Li2CuRh. The functional is PBE-GGA.

Lattice parameters (Å, degrees): 2.642 2.642 9.035 90.00 90.00 115.04
Fractional coordinates of all 4 atoms:
Cu 0.500 0.500 0.745
Rh 0.000 0.000 0.504
Li 0.000 0.000 0.979
Li 0.500 0.500 0.272

Summary:
The space group is Cmm2. As for the crystal system: orthorhombic. The value obtained for the calculated formation energy is 18 meV per atom.

This record from the Alexandria database describes a relaxed structure of LiC. The functional is PBE-GGA.

Lattice parameters (Å, degrees): 2.977 2.977 1.649 90.00 90.00 90.00
Fractional coordinates of all 2 atoms:
C 0.000 0.000 0.500
Li 0.500 0.500 0.000

Summary:
The space group is P4/mmm. As for the crystal system: tetragonal. The value obtained for the calculated formation energy is 1317 meV per atom.

This record from the Alexandria database describes a relaxed structure of RbAlCr2Hg. The functional is PBE-GGA.

Lattice parameters (Å, degrees): 6.059 6.165 6.059 90.00 90.00 90.00
Fractional coordinates of all 5 atoms:
Rb 0.000 0.000 0.000
Cr 0.000 0.000 0.500
Cr 0.500 0.000 0.000
Hg 0.000 0.500 0.000
Al 0.500 0.500 0.500

Summary:
The space group is P4/mmm. As for the crystal system: tetragonal. The value obtained for the calculated formation energy is 1887 meV per atom.

This record from the Alexandria database describes a relaxed structure of Ac2PmPr. The functional is PBE-GGA.

Lattice parameters (Å, degrees): 5.309 5.467 5.467 90.00 90.00 90.00
Fractional coordinates of all 4 atoms:
Ac 0.000 0.000 0.500
Ac 0.000 0.500 0.000
Pm 0.500 0.500 0.500
Pr 0.500 0.000 0.000

Summary:
The space group is P4/mmm. As for the crystal system: tetragonal. The value obtained for the calculated formation energy is 23 meV per atom.

This record from the Alexandria database describes a relaxed structure of NaMoN2. The functional is PBE-GGA.

Lattice parameters (Å, degrees): 5.685 11.278 15.426 90.00 90.00 90.00
Fractional coordinates of all 64 atoms:
N 0.824 0.314 0.832
N 0.324 0.186 0.168
N 0.003 0.690 0.498
N 0.957 0.987 0.205
N 0.096 0.079 0.601
N 0.404 0.921 0.101
N 0.957 0.513 0.705
N 0.503 0.810 0.502
N 0.003 0.810 0.998
N 0.176 0.686 0.168
N 0.676 0.686 0.332
N 0.596 0.421 0.399
N 0.457 0.513 0.795
N 0.997 0.190 0.002
N 0.457 0.987 0.295
N 0.543 0.487 0.205
N 0.096 0.421 0.101
N 0.676 0.814 0.832
N 0.497 0.310 0.998
N 0.904 0.921 0.399
N 0.543 0.013 0.705
N 0.043 0.013 0.795
N 0.404 0.579 0.601
N 0.176 0.814 0.668
N 0.824 0.186 0.332
N 0.596 0.079 0.899
N 0.497 0.190 0.498
N 0.503 0.690 0.002
N 0.997 0.310 0.502
N 0.904 0.579 0.899
N 0.043 0.487 0.295
N 0.324 0.314 0.668
Na 0.778 0.999 0.055
Na 0.278 0.999 0.445
Na 0.722 0.499 0.055
Na 0.222 0.499 0.445
Na 0.224 0.277 0.315
Na 0.278 0.501 0.945
Na 0.776 0.777 0.185
Na 0.722 0.001 0.555
Na 0.724 0.223 0.685
Na 0.224 0.223 0.815
Na 0.276 0.777 0.315
Na 0.776 0.723 0.685
Na 0.778 0.501 0.555
Na 0.222 0.001 0.945
Na 0.276 0.723 0.815
Na 0.724 0.277 0.185
Mo 0.277 0.727 0.568
Mo 0.777 0.727 0.932
Mo 0.715 0.979 0.809
Mo 0.285 0.479 0.691
Mo 0.785 0.021 0.309
Mo 0.277 0.773 0.068
Mo 0.723 0.273 0.432
Mo 0.223 0.273 0.068
Mo 0.777 0.773 0.432
Mo 0.723 0.227 0.932
Mo 0.785 0.479 0.809
Mo 0.215 0.979 0.691
Mo 0.285 0.021 0.191
Mo 0.215 0.521 0.191
Mo 0.715 0.521 0.309
Mo 0.223 0.227 0.568

Summary:
The space group is Pbca. As for the crystal system: orthorhombic. The calculation puts the uncorrected formation energy at -339 meV/atom.

This record from the Alexandria database describes a relaxed structure of LiPm2F8. The functional is PBE-GGA.

Lattice parameters (Å, degrees): 3.942 5.547 7.385 116.04 105.48 90.00
Fractional coordinates of all 11 atoms:
F 0.672 0.937 0.345
F 0.021 0.760 0.041
F 0.594 0.389 0.188
F 0.406 0.611 0.812
F 0.328 0.063 0.655
F 0.979 0.240 0.959
F 0.218 0.318 0.435
F 0.782 0.682 0.565
Pm 0.836 0.341 0.672
Pm 0.164 0.659 0.328
Li 0.500 0.000 0.000

Summary:
The space group is C2/m. As for the crystal system: monoclinic. The calculation puts the uncorrected formation energy at -3434 meV/atom.

This record from the Alexandria database describes a relaxed structure of Ce2Pu2Rh3. The functional is PBE-GGA.

Lattice parameters (Å, degrees): 4.037 7.258 5.837 85.30 90.02 106.16
Fractional coordinates of all 7 atoms:
Rh 0.000 0.000 0.000
Rh 0.268 0.537 0.674
Rh 0.732 0.463 0.326
Pu 0.901 0.801 0.587
Pu 0.099 0.199 0.413
Ce 0.642 0.284 0.892
Ce 0.358 0.716 0.108

Summary:
The space group is C2/m. As for the crystal system: monoclinic. The value obtained for the calculated formation energy is -474 meV per atom.

This record from the Alexandria database describes a relaxed structure of B2C3. The functional is PBE-GGA.

Lattice parameters (Å, degrees): 4.454 4.454 6.366 68.13 68.13 33.94
Fractional coordinates of all 10 atoms:
C 0.987 0.987 0.011
C 0.423 0.423 0.642
C 0.999 0.999 0.238
C 0.178 0.178 0.222
C 0.616 0.616 0.589
C 0.196 0.196 0.451
B 0.597 0.597 0.869
B 0.830 0.830 0.756
B 0.779 0.779 0.065
B 0.395 0.395 0.407

Summary:
The space group is Cm. As for the crystal system: monoclinic. The value obtained for the calculated formation energy is 346 meV per atom.